Below is a geometry-optimized NaCaCdSb structure, with properties calculated at the GGA-PBE level.

Output
Calculated volume in Å³/f.u.: 111
Formation energy from raw total energies in eV per atom: -0.51
Space group: No. 216
Total energy in eV per atom: -2.60

Structure (extended XYZ):
```
4
Lattice="5.395 0.000 0.000 2.697 4.672 0.000 2.697 1.557 4.405" Properties=species:S:1:pos:R:3 pbc="T T T"
Ca 5.395 3.115 2.202
Cd 8.092 4.672 3.304
Na 0.000 0.000 0.000
Sb 2.697 1.557 1.101
```